A plane-wave DFT calculation with PBE-GGA was carried out for a relaxed structure of ZnPSe2.

Relative energy among the computed polymorphs, meV per atom: 212

Unit cell a=3.7219 b=3.5098 c=6.9400 alpha=90.00 beta=104.63 gamma=90.00
Space group P2/m (No. 10)
Unique sites:
Zn 0.0000 0.0000 0.0000
P 0.0000 0.0000 0.5000
Se 0.1823 0.5000 0.7654

A plane-wave DFT calculation with PBE-GGA was carried out for a relaxed structure of ZnPSe.

Relative energy among the computed polymorphs, meV per atom: 253

Unit cell a=3.0189 b=3.0189 c=7.7429 alpha=90.00 beta=90.00 gamma=120.00
Space group P3m1 (No. 156)
Unique sites:
Zn 0.0000 0.0000 0.0000
P 0.6667 0.3333 0.2403
Se 0.3333 0.6667 0.7350

A plane-wave DFT calculation with PBE-GGA was carried out for a relaxed structure of ZnP2Se.

Relative energy among the computed polymorphs, meV per atom: 145

Unit cell a=3.6502 b=3.6502 c=21.4666 alpha=90.00 beta=90.00 gamma=120.00
Space group R3m (No. 160, hexagonal axes)
Unique sites:
Zn 0.0000 0.0000 0.0000
P 0.0000 0.0000 0.2254
P 0.0000 0.0000 0.5062
Se 0.0000 0.0000 0.7172

A plane-wave DFT calculation with PBE-GGA was carried out for a relaxed structure of ZnP2Se.

Relative energy among the computed polymorphs, meV per atom: 568

Unit cell a=2.6296 b=2.6296 c=11.5776 alpha=90.00 beta=90.00 gamma=90.00
Space group P4/mmm (No. 123)
Unique sites:
Zn 0.0000 0.0000 0.0000
P 0.5000 0.5000 0.1725
Se 0.0000 0.0000 0.5000

A plane-wave DFT calculation with PBE-GGA was carried out for a relaxed structure of ZnPSe2.

Relative energy among the computed polymorphs, meV per atom: 290

Unit cell a=3.4909 b=3.4909 c=26.4298 alpha=90.00 beta=90.00 gamma=120.00
Space group R-3m (No. 166, hexagonal axes)
Unique sites:
Zn 0.0000 0.0000 0.0000
P 0.0000 0.0000 0.5000
Se 0.0000 0.0000 0.1089

A plane-wave DFT calculation with PBE-GGA was carried out for a relaxed structure of ZnP2Se.

Relative energy among the computed polymorphs, meV per atom: 400

Unit cell a=3.4209 b=3.4209 c=16.5082 alpha=90.00 beta=90.00 gamma=90.00
Space group I4/mmm (No. 139)
Unique sites:
Zn 0.0000 0.0000 0.0000
P 0.0000 0.5000 0.2500
Se 0.0000 0.0000 0.5000

A plane-wave DFT calculation with PBE-GGA was carried out for a relaxed structure of ZnPSe.

Relative energy among the computed polymorphs, meV per atom: 307

Unit cell a=3.5429 b=4.5398 c=14.4740 alpha=90.00 beta=90.00 gamma=90.00
Space group Fmm2 (No. 42)
Unique sites:
Zn 0.0000 0.0000 0.0000
P 0.0000 0.0000 0.3778
Se 0.0000 0.0000 0.6447

A plane-wave DFT calculation with PBE-GGA was carried out for a relaxed structure of ZnP2Se6.

Relative energy among the computed polymorphs, meV per atom: 241

Unit cell a=6.4956 b=6.4956 c=7.7609 alpha=90.00 beta=90.00 gamma=120.00
Space group P-3m1 (No. 164)
Unique sites:
Zn 0.0000 0.0000 0.0000
P 0.3333 0.6667 0.9339
Se 0.1658 0.3315 0.7669

A plane-wave DFT calculation with PBE-GGA was carried out for a relaxed structure of ZnP2Se.

Relative energy among the computed polymorphs, meV per atom: 772

Unit cell a=6.4303 b=6.4303 c=6.4303 alpha=90.00 beta=90.00 gamma=90.00
Space group Fm-3m (No. 225)
Unique sites:
Zn 0.0000 0.0000 0.0000
P 0.2500 0.2500 0.2500
Se 0.0000 0.0000 0.5000

A plane-wave DFT calculation with PBE-GGA was carried out for a relaxed structure of ZnPSe.

Relative energy among the computed polymorphs, meV per atom: 289

Unit cell a=6.2000 b=6.2000 c=6.2000 alpha=90.00 beta=90.00 gamma=90.00
Space group F-43m (No. 216)
Unique sites:
Zn 0.0000 0.0000 0.0000
P 0.2500 0.2500 0.7500
Se 0.2500 0.2500 0.2500

A plane-wave DFT calculation with PBE-GGA was carried out for a relaxed structure of ZnP2Se2.

Unit cell a=5.1400 b=5.1400 c=10.4319 alpha=90.00 beta=90.00 gamma=90.00
Space group I4/mmm (No. 139)
Unique sites:
Zn 0.0000 0.0000 0.0000
P 0.0000 0.0000 0.2183
Se 0.0000 0.5000 0.2500

A plane-wave DFT calculation with PBE-GGA was carried out for a relaxed structure of ZnP2Se.

Relative energy among the computed polymorphs, meV per atom: 103

Unit cell a=3.5639 b=3.5639 c=5.7360 alpha=90.00 beta=90.00 gamma=90.00
Space group P4mm (No. 99)
Unique sites:
Zn 0.0000 0.0000 0.0000
P 0.0000 0.0000 0.4151
P 0.5000 0.5000 0.4610
Se 0.5000 0.5000 0.8654

For the records above, the corresponding energy relative to the elements, uncorrected values read 0.139 0.331 0.028 0.451 0.217 0.283 0.386 0.123 0.655 0.367 0.183 -0.014 eV/atom.
For the records above, the corresponding E_tot values read -3.274 -3.058 -3.867 -3.444 -3.197 -3.612 -3.004 -3.544 -3.240 -3.022 -3.630 -3.909 eV per atom.
For the records above, the corresponding density of states at the Fermi level values read 1.1 1.5 4.2 2.2 7.1 4.5 6.9 7.6 7.4 6.0 2.3 1.6 states/eV per cell.